(1)
{"formula": "Pr6Sm5Sc2", "functional": "GGA-PBE", "state": "relaxed", "formation_energy_ev_per_atom": 0.1426, "final_energy_ev_per_cell": -126.16, "n_ef_per_ev_cell": 38.3, "total_magnetization_mub_per_cell": 0.001, "lattice_angstrom": [[10.9217, 0.0000, 0.0000], [0.0000, 22.9687, 0.0000], [0.0000, 0.0000, 3.5388]], "species": ["Pr", "Pr", "Pr", "Pr", "Pr", "Pr", "Pr", "Pr", "Pr", "Pr", "Pr", "Pr", "Sm", "Sm", "Sm", "Sm", "Sm", "Sm", "Sm", "Sm", "Sm", "Sm", "Sc", "Sc", "Sc", "Sc"], "fractional_positions": [[0.0238, 0.1134, 0.0000], [0.1420, 0.3834, 0.0000], [0.1664, 0.6388, 0.5000], [0.3336, 0.1388, 0.5000], [0.3580, 0.8834, 0.0000], [0.4762, 0.6134, 0.0000], [0.5238, 0.3866, 0.0000], [0.6420, 0.1166, 0.0000], [0.6664, 0.8612, 0.5000], [0.8336, 0.3612, 0.5000], [0.8580, 0.6166, 0.0000], [0.9762, 0.8866, 0.0000], [0.0000, 0.5000, 0.5000], [0.0841, 0.2489, 0.5000], [0.1665, 0.9953, 0.5000], [0.3335, 0.4953, 0.5000], [0.4159, 0.7489, 0.5000], [0.5000, 0.0000, 0.5000], [0.5841, 0.2511, 0.5000], [0.6665, 0.5047, 0.5000], [0.8335, 0.0047, 0.5000], [0.9159, 0.7511, 0.5000], [0.1662, 0.7700, 0.0000], [0.3338, 0.2700, 0.0000], [0.6662, 0.7300, 0.0000], [0.8338, 0.2300, 0.0000]]}

=====

(2)
{"formula": "Pr2Sm6Sc", "functional": "GGA-PBE", "state": "relaxed", "formation_energy_ev_per_atom": 0.2304, "relative_energy_kj_per_mol_fu": 119, "final_energy_ev_per_cell": -42.13, "n_ef_per_ev_cell": 13.5, "total_magnetization_mub_per_cell": 0.000, "lattice_angstrom": [[3.9093, -7.4199, 0.0000], [3.9093, 7.4199, 0.0000], [0.0000, 0.0000, 5.3531]], "species": ["Pr", "Pr", "Sm", "Sm", "Sm", "Sm", "Sm", "Sm", "Sc"], "fractional_positions": [[0.2269, 0.7731, 0.0000], [0.7731, 0.2269, 0.0000], [0.1434, 0.4257, 0.5000], [0.2614, 0.2614, 0.0000], [0.4257, 0.1434, 0.5000], [0.5743, 0.8566, 0.5000], [0.7386, 0.7386, 0.0000], [0.8566, 0.5743, 0.5000], [0.0000, 0.0000, 0.5000]]}

=====

(3)
{"formula": "Pr15Sm4Sc", "functional": "GGA-PBE", "state": "relaxed", "formation_energy_ev_per_atom": 0.0183, "final_energy_ev_per_cell": -96.53, "n_ef_per_ev_cell": 29.0, "total_magnetization_mub_per_cell": 0.000, "lattice_angstrom": [[5.2070, 0.0000, 0.0000], [0.0000, 5.2070, 0.0000], [0.0000, 0.0000, 25.9384]], "species": ["Pr", "Pr", "Pr", "Pr", "Pr", "Pr", "Pr", "Pr", "Pr", "Pr", "Pr", "Pr", "Pr", "Pr", "Pr", "Sm", "Sm", "Sm", "Sm", "Sc"], "fractional_positions": [[0.0000, 0.0000, 0.0000], [0.0000, 0.0000, 0.1969], [0.0000, 0.0000, 0.3991], [0.0000, 0.0000, 0.6009], [0.0000, 0.0000, 0.8031], [0.0000, 0.5000, 0.0961], [0.0000, 0.5000, 0.2979], [0.0000, 0.5000, 0.5000], [0.0000, 0.5000, 0.7021], [0.0000, 0.5000, 0.9039], [0.5000, 0.0000, 0.0961], [0.5000, 0.0000, 0.2979], [0.5000, 0.0000, 0.5000], [0.5000, 0.0000, 0.7021], [0.5000, 0.0000, 0.9039], [0.5000, 0.5000, 0.1969], [0.5000, 0.5000, 0.3989], [0.5000, 0.5000, 0.6011], [0.5000, 0.5000, 0.8031], [0.5000, 0.5000, 0.0000]]}

=====

(4)
{"formula": "Pr3Sm2Sc2", "functional": "GGA-PBE", "state": "relaxed", "formation_energy_ev_per_atom": 0.0487, "relative_energy_kj_per_mol_fu": 0, "final_energy_ev_per_cell": -36.10, "n_ef_per_ev_cell": 10.7, "total_magnetization_mub_per_cell": 0.000, "lattice_angstrom": [[5.5942, -2.5128, 0.0000], [5.5942, 2.5128, 0.0000], [-1.1458, 0.0000, 7.9356]], "species": ["Pr", "Pr", "Pr", "Sm", "Sm", "Sc", "Sc"], "fractional_positions": [[0.0000, 0.0000, 0.0000], [0.2858, 0.2858, 0.8543], [0.7142, 0.7142, 0.1457], [0.1400, 0.1400, 0.4302], [0.8600, 0.8600, 0.5698], [0.4282, 0.4282, 0.2961], [0.5718, 0.5718, 0.7039]]}

=====

(5)
{"formula": "Pr14SmSc", "functional": "GGA-PBE", "state": "relaxed", "formation_energy_ev_per_atom": 0.0212, "final_energy_ev_per_cell": -77.63, "n_ef_per_ev_cell": 24.3, "total_magnetization_mub_per_cell": 0.000, "lattice_angstrom": [[5.2019, -5.2055, 0.0000], [5.2019, 5.2055, 0.0000], [0.0000, 0.0000, 10.4157]], "species": ["Pr", "Pr", "Pr", "Pr", "Pr", "Pr", "Pr", "Pr", "Pr", "Pr", "Pr", "Pr", "Pr", "Pr", "Sm", "Sc"], "fractional_positions": [[0.0000, 0.0000, 0.0000], [0.0000, 0.5000, 0.0000], [0.0000, 0.5000, 0.5000], [0.2469, 0.2469, 0.2548], [0.2469, 0.2469, 0.7452], [0.2469, 0.7531, 0.2548], [0.2469, 0.7531, 0.7452], [0.5000, 0.0000, 0.0000], [0.5000, 0.0000, 0.5000], [0.5000, 0.5000, 0.0000], [0.7531, 0.2469, 0.2548], [0.7531, 0.2469, 0.7452], [0.7531, 0.7531, 0.2548], [0.7531, 0.7531, 0.7452], [0.5000, 0.5000, 0.5000], [0.0000, 0.0000, 0.5000]]}

=====

(6)
{"formula": "PrSmSc2", "functional": "GGA-PBE", "state": "relaxed", "formation_energy_ev_per_atom": 0.0543, "relative_energy_kj_per_mol_fu": 1, "final_energy_ev_per_cell": -21.94, "n_ef_per_ev_cell": 6.0, "total_magnetization_mub_per_cell": 0.000, "lattice_angstrom": [[-2.5301, 2.5301, 4.5811], [2.5301, -2.5301, 4.5811], [2.5301, 2.5301, -4.5811]], "species": ["Pr", "Sm", "Sc", "Sc"], "fractional_positions": [[0.0000, 0.0000, 0.0000], [0.5000, 0.5000, 0.0000], [0.2500, 0.7500, 0.5000], [0.7500, 0.2500, 0.5000]]}

=====

(7)
{"formula": "Pr2Sm4Sc3", "functional": "GGA-PBE", "state": "relaxed", "formation_energy_ev_per_atom": 0.0541, "final_energy_ev_per_cell": -46.94, "n_ef_per_ev_cell": 13.4, "total_magnetization_mub_per_cell": 0.000, "lattice_angstrom": [[5.5786, -2.5036, 0.0000], [5.5786, 2.5036, 0.0000], [-3.3450, 0.0000, 9.9720]], "species": ["Pr", "Pr", "Sm", "Sm", "Sm", "Sm", "Sc", "Sc", "Sc"], "fractional_positions": [[0.1686, 0.1686, 0.2280], [0.8314, 0.8314, 0.7720], [0.1661, 0.1661, 0.8871], [0.4955, 0.4955, 0.6626], [0.5045, 0.5045, 0.3374], [0.8339, 0.8339, 0.1129], [0.1633, 0.1633, 0.5518], [0.5000, 0.5000, 0.0000], [0.8367, 0.8367, 0.4482]]}

=====

(8)
{"formula": "PrSmSc3", "functional": "GGA-PBE", "state": "relaxed", "formation_energy_ev_per_atom": 0.0701, "final_energy_ev_per_cell": -56.29, "n_ef_per_ev_cell": 18.4, "total_magnetization_mub_per_cell": 0.685, "lattice_angstrom": [[1.7314, -14.9523, 0.0000], [1.7314, 14.9523, 0.0000], [0.0000, 0.0000, 5.4970]], "species": ["Pr", "Pr", "Sm", "Sm", "Sc", "Sc", "Sc", "Sc", "Sc", "Sc"], "fractional_positions": [[0.1661, 0.8339, 0.7500], [0.8339, 0.1661, 0.2500], [0.3694, 0.6306, 0.7500], [0.6306, 0.3694, 0.2500], [0.0302, 0.9698, 0.2500], [0.2335, 0.7665, 0.2500], [0.4391, 0.5609, 0.2500], [0.5609, 0.4391, 0.7500], [0.7665, 0.2335, 0.7500], [0.9698, 0.0302, 0.7500]]}

=====

(9)
{"formula": "Pr3Sm4Sc", "functional": "GGA-PBE", "state": "relaxed", "formation_energy_ev_per_atom": 0.1201, "relative_energy_kj_per_mol_fu": 57, "final_energy_ev_per_cell": -38.59, "n_ef_per_ev_cell": 10.8, "total_magnetization_mub_per_cell": 0.000, "lattice_angstrom": [[-1.7634, 5.8999, 6.5144], [1.7634, -5.8999, 6.5144], [1.7634, 5.8999, -6.5144]], "species": ["Pr", "Pr", "Pr", "Sm", "Sm", "Sm", "Sm", "Sc"], "fractional_positions": [[0.0000, 0.0000, 0.0000], [0.2617, 0.7617, 0.5000], [0.7383, 0.2383, 0.5000], [0.1243, 0.3676, 0.7567], [0.3892, 0.6324, 0.7567], [0.6108, 0.3676, 0.2433], [0.8757, 0.6324, 0.2433], [0.5000, 0.5000, 0.0000]]}

=====

(10)
{"formula": "PrSm4Sc2", "functional": "GGA-PBE", "state": "relaxed", "formation_energy_ev_per_atom": 0.2330, "relative_energy_kj_per_mol_fu": 36, "final_energy_ev_per_cell": -69.38, "n_ef_per_ev_cell": 20.7, "total_magnetization_mub_per_cell": 0.000, "lattice_angstrom": [[1.7653, -7.8297, 0.0000], [1.7653, 7.8297, 0.0000], [-0.8663, 0.0000, 16.4633]], "species": ["Pr", "Pr", "Sm", "Sm", "Sm", "Sm", "Sm", "Sm", "Sm", "Sm", "Sc", "Sc", "Sc", "Sc"], "fractional_positions": [[0.1942, 0.8058, 0.7500], [0.8058, 0.1942, 0.2500], [0.0688, 0.1698, 0.4193], [0.1698, 0.0688, 0.9193], [0.2718, 0.6205, 0.9271], [0.3795, 0.7282, 0.5729], [0.6205, 0.2718, 0.4271], [0.7282, 0.3795, 0.0729], [0.8302, 0.9312, 0.0807], [0.9312, 0.8302, 0.5807], [0.1317, 0.8683, 0.2500], [0.4810, 0.5190, 0.2500], [0.5190, 0.4810, 0.7500], [0.8683, 0.1317, 0.7500]]}

=====

(11)
{"formula": "PrSmSc", "functional": "GGA-PBE", "state": "relaxed", "formation_energy_ev_per_atom": 0.0606, "relative_energy_kj_per_mol_fu": 0, "final_energy_ev_per_cell": -15.65, "n_ef_per_ev_cell": 5.1, "total_magnetization_mub_per_cell": 0.000, "lattice_angstrom": [[-1.7871, 1.7871, 7.3766], [1.7871, -1.7871, 7.3766], [1.7871, 1.7871, -7.3766]], "species": ["Pr", "Sm", "Sc"], "fractional_positions": [[0.0000, 0.0000, 0.0000], [0.6800, 0.6800, 0.0000], [0.3383, 0.3383, 0.0000]]}

=====

(12)
{"formula": "Pr5Sm5Sc2", "functional": "GGA-PBE", "state": "relaxed", "formation_energy_ev_per_atom": 0.0391, "final_energy_ev_per_cell": -59.69, "n_ef_per_ev_cell": 18.8, "total_magnetization_mub_per_cell": 0.001, "lattice_angstrom": [[7.6558, -2.5479, 0.0000], [7.6558, 2.5479, 0.0000], [-5.0887, 0.0000, 10.1879]], "species": ["Pr", "Pr", "Pr", "Pr", "Pr", "Sm", "Sm", "Sm", "Sm", "Sm", "Sc", "Sc"], "fractional_positions": [[0.0000, 0.0000, 0.0000], [0.1625, 0.1625, 0.4986], [0.2540, 0.2540, 0.2510], [0.7460, 0.7460, 0.7490], [0.8375, 0.8375, 0.5014], [0.3321, 0.3321, 0.0003], [0.4207, 0.4207, 0.7509], [0.5000, 0.5000, 0.5000], [0.5793, 0.5793, 0.2491], [0.6679, 0.6679, 0.9997], [0.0840, 0.0840, 0.7534], [0.9160, 0.9160, 0.2466]]}

=====

(13)
{"formula": "Pr4Sm6Sc", "functional": "GGA-PBE", "state": "relaxed", "formation_energy_ev_per_atom": 0.1247, "final_energy_ev_per_cell": -104.78, "n_ef_per_ev_cell": 37.9, "total_magnetization_mub_per_cell": 0.000, "lattice_angstrom": [[2.9416, -4.8739, 0.0000], [2.9416, 4.8739, 0.0000], [0.0000, 0.0000, 25.8925]], "species": ["Pr", "Pr", "Pr", "Pr", "Pr", "Pr", "Pr", "Pr", "Sm", "Sm", "Sm", "Sm", "Sm", "Sm", "Sm", "Sm", "Sm", "Sm", "Sm", "Sm", "Sc", "Sc"], "fractional_positions": [[0.0456, 0.9544, 0.6231], [0.0456, 0.9544, 0.8769], [0.3519, 0.6481, 0.5462], [0.3519, 0.6481, 0.9538], [0.6481, 0.3519, 0.0462], [0.6481, 0.3519, 0.4538], [0.9544, 0.0456, 0.1231], [0.9544, 0.0456, 0.3769], [0.0000, 0.0000, 0.0000], [0.0000, 0.0000, 0.5000], [0.0412, 0.9588, 0.7500], [0.2988, 0.7012, 0.1096], [0.2988, 0.7012, 0.3904], [0.3731, 0.6269, 0.6850], [0.3731, 0.6269, 0.8150], [0.6269, 0.3731, 0.1850], [0.6269, 0.3731, 0.3150], [0.7012, 0.2988, 0.6096], [0.7012, 0.2988, 0.8904], [0.9588, 0.0412, 0.2500], [0.2960, 0.7040, 0.2500], [0.7040, 0.2960, 0.7500]]}

=====

(14)
{"formula": "PrSmSc2", "functional": "GGA-PBE", "state": "relaxed", "formation_energy_ev_per_atom": 0.0780, "relative_energy_kj_per_mol_fu": 10, "final_energy_ev_per_cell": -21.85, "n_ef_per_ev_cell": 6.3, "total_magnetization_mub_per_cell": 0.000, "lattice_angstrom": [[0.0000, 3.8929, 3.8929], [3.8929, 0.0000, 3.8929], [3.8929, 3.8929, 0.0000]], "species": ["Pr", "Sm", "Sc", "Sc"], "fractional_positions": [[0.0000, 0.0000, 0.0000], [0.5000, 0.5000, 0.5000], [0.2500, 0.2500, 0.2500], [0.7500, 0.7500, 0.7500]]}

=====

(15)
{"formula": "Pr2Sm7Sc", "functional": "GGA-PBE", "state": "relaxed", "formation_energy_ev_per_atom": 0.1681, "final_energy_ev_per_cell": -47.24, "n_ef_per_ev_cell": 15.6, "total_magnetization_mub_per_cell": 0.001, "lattice_angstrom": [[3.3399, -14.5612, 0.0000], [3.3399, 14.5612, 0.0000], [0.0000, 0.0000, 3.4632]], "species": ["Pr", "Pr", "Sm", "Sm", "Sm", "Sm", "Sm", "Sm", "Sm", "Sc"], "fractional_positions": [[0.2041, 0.7959, 0.0000], [0.7959, 0.2041, 0.0000], [0.0000, 0.0000, 0.0000], [0.1640, 0.3552, 0.0000], [0.3136, 0.6864, 0.5000], [0.3552, 0.1640, 0.0000], [0.6448, 0.8360, 0.0000], [0.6864, 0.3136, 0.5000], [0.8360, 0.6448, 0.0000], [0.5000, 0.5000, 0.5000]]}

=====

(16)
{"formula": "PrSm7Sc4", "functional": "GGA-PBE", "state": "relaxed", "formation_energy_ev_per_atom": 0.0338, "final_energy_ev_per_cell": -62.73, "n_ef_per_ev_cell": 16.3, "total_magnetization_mub_per_cell": 0.000, "lattice_angstrom": [[6.1325, 0.0000, 0.0000], [-0.0069, 7.0913, 0.0000], [-2.0509, -0.0075, 8.4581]], "species": ["Pr", "Sm", "Sm", "Sm", "Sm", "Sm", "Sm", "Sm", "Sc", "Sc", "Sc", "Sc"], "fractional_positions": [[0.0000, 0.0000, 0.0000], [0.0000, 0.5000, 0.0000], [0.2257, 0.0007, 0.6627], [0.2869, 0.7426, 0.3412], [0.4985, 0.2576, 0.0078], [0.5015, 0.7424, 0.9922], [0.7131, 0.2574, 0.6588], [0.7743, 0.9993, 0.3373], [0.2138, 0.4990, 0.6591], [0.2727, 0.2600, 0.3379], [0.7273, 0.7400, 0.6621], [0.7862, 0.5010, 0.3409]]}

=====

(17)
{"formula": "Pr2Sm8Sc", "functional": "GGA-PBE", "state": "relaxed", "formation_energy_ev_per_atom": 0.4037, "relative_energy_kj_per_mol_fu": 398, "final_energy_ev_per_cell": -49.20, "n_ef_per_ev_cell": 14.8, "total_magnetization_mub_per_cell": 0.000, "lattice_angstrom": [[6.1474, -5.7224, 0.0000], [6.1474, 5.7224, 0.0000], [-1.5080, 0.0000, 5.7113]], "species": ["Pr", "Pr", "Sm", "Sm", "Sm", "Sm", "Sm", "Sm", "Sm", "Sm", "Sc"], "fractional_positions": [[0.1392, 0.1392, 0.0024], [0.8608, 0.8608, 0.9976], [0.1422, 0.6529, 0.6889], [0.2725, 0.2725, 0.6056], [0.3471, 0.8578, 0.3111], [0.4218, 0.4218, 0.2143], [0.5782, 0.5782, 0.7857], [0.6529, 0.1422, 0.6889], [0.7275, 0.7275, 0.3944], [0.8578, 0.3471, 0.3111], [0.0000, 0.0000, 0.5000]]}

=====

(18)
{"formula": "PrSm5Sc", "functional": "GGA-PBE", "state": "relaxed", "formation_energy_ev_per_atom": 0.2460, "final_energy_ev_per_cell": -32.99, "n_ef_per_ev_cell": 9.1, "total_magnetization_mub_per_cell": 0.000, "lattice_angstrom": [[5.3036, 0.0000, 0.0000], [0.0000, 5.3036, 0.0000], [0.0000, 0.0000, 8.6390]], "species": ["Pr", "Sm", "Sm", "Sm", "Sm", "Sm", "Sc"], "fractional_positions": [[0.0000, 0.0000, 0.0000], [0.0000, 0.5000, 0.2890], [0.0000, 0.5000, 0.7110], [0.5000, 0.0000, 0.2890], [0.5000, 0.0000, 0.7110], [0.5000, 0.5000, 0.0000], [0.0000, 0.0000, 0.5000]]}

=====

(19)
{"formula": "PrSm6Sc", "functional": "GGA-PBE", "state": "relaxed", "formation_energy_ev_per_atom": 0.3783, "relative_energy_kj_per_mol_fu": 265, "final_energy_ev_per_cell": -36.40, "n_ef_per_ev_cell": 14.3, "total_magnetization_mub_per_cell": 0.000, "lattice_angstrom": [[4.5563, -3.5684, 0.0000], [4.5563, 3.5684, 0.0000], [-2.4965, 0.0000, 8.8964]], "species": ["Pr", "Sm", "Sm", "Sm", "Sm", "Sm", "Sm", "Sc"], "fractional_positions": [[0.0000, 0.0000, 0.0000], [0.0441, 0.5577, 0.2095], [0.1335, 0.1335, 0.4262], [0.4423, 0.9559, 0.7905], [0.5577, 0.0441, 0.2095], [0.8665, 0.8665, 0.5738], [0.9559, 0.4423, 0.7905], [0.5000, 0.5000, 0.5000]]}

=====

(20)
{"formula": "Pr2SmSc3", "functional": "GGA-PBE", "state": "relaxed", "formation_energy_ev_per_atom": 0.2646, "final_energy_ev_per_cell": -63.37, "n_ef_per_ev_cell": 24.8, "total_magnetization_mub_per_cell": 0.003, "lattice_angstrom": [[6.7626, 0.0000, 0.0000], [-3.3813, 5.8565, 0.0000], [0.0000, 0.0000, 9.3404]], "species": ["Pr", "Pr", "Pr", "Pr", "Sm", "Sm", "Sc", "Sc", "Sc", "Sc", "Sc", "Sc"], "fractional_positions": [[0.0000, 0.0000, 0.0000], [0.0000, 0.0000, 0.5000], [0.3333, 0.6667, 0.0655], [0.6667, 0.3333, 0.9345], [0.3333, 0.6667, 0.4218], [0.6667, 0.3333, 0.5782], [0.1880, 0.3760, 0.7423], [0.1880, 0.8120, 0.7423], [0.3760, 0.1880, 0.2577], [0.6240, 0.8120, 0.7423], [0.8120, 0.1880, 0.2577], [0.8120, 0.6240, 0.2577]]}